A geometry-optimized EuGa3Ru structure, computed with PBE-GGA.

DOS at the Fermi energy   1.9 states/eV/cell
Total DFT energy (no corrections)   -6.145 eV/atom
V   110 Å³/cell

a = 4.7873 Å, b = 4.7873 Å, c = 4.7873 Å
α = 90.00°, β = 90.00°, γ = 90.00°
Closest atoms and distances in Å follow each position.
Space group Pm-3m (No. 221)
One atom of each set of equivalent atoms:
Eu  0.0000  0.0000  0.0000  12 Ga 3.39
Ga  0.0000  0.5000  0.5000  2 Ru 2.39
Ru  0.5000  0.5000  0.5000  6 Ga 2.39